# PBE La6YSe8, relaxed
# **Crystal system**: cubic
# **Electronic total energy**: -375.48 eV/cell
data_La6YSe8
_space_group_name_H-M_alt 'F m -3 m'
_space_group_IT_number 225
_space_group_name_Hall '-F 4 2 3'
_cell_length_a 12.1381
_cell_length_b 12.1381
_cell_length_c 12.1381
_cell_angle_alpha 90.00
_cell_angle_beta 90.00
_cell_angle_gamma 90.00
loop_
_atom_site_label
_atom_site_fract_x
_atom_site_fract_y
_atom_site_fract_z
La1 0.0000 0.2500 0.2500
Y1 0.0000 0.0000 0.0000
Se1 0.0000 0.0000 0.2416
Se2 0.2500 0.2500 0.2500



# PBE Cs3Tl5Ga2, relaxed
# **Formation enthalpy at 0 K**: -0.10 kcal/mol of atoms
# **Crystal system**: orthorhombic
data_Cs3Tl5Ga2
_space_group_name_H-M_alt 'I b a m'
_space_group_IT_number 72
_space_group_name_Hall '-I 2 2c'
_cell_length_a 11.5182
_cell_length_b 16.4089
_cell_length_c 8.2657
_cell_angle_alpha 90.00
_cell_angle_beta 90.00
_cell_angle_gamma 90.00
loop_
_atom_site_label
_atom_site_fract_x
_atom_site_fract_y
_atom_site_fract_z
Cs1 0.0000 0.0000 0.2500
Cs2 0.2408 0.3742 0.0000
Tl1 0.0000 0.2532 0.2500
Tl2 0.0000 0.5000 0.2500
Tl3 0.1396 0.3769 0.5000
Ga1 0.1254 0.1698 0.0000